## AlHg2Ir (PBE)

Data for AlHg2Ir after structural relaxation.

Summary:
- M_tot: 0.0 μB per formula unit
- Symmetry: No. 123
- Formation enthalpy at 0 K: 0.267 eV/atom

Cell lengths 4.064, 4.064, 4.331 Å; angles 90.00, 90.00, 90.00 degrees
Fractional positions:
Al1 0.000 0.000 0.000
Hg1 0.000 0.500 0.500
Hg2 0.500 0.000 0.500
Ir1 0.500 0.500 0.000